## ScAl2Bi (GGA-PBE)

Data for a relaxed ScAl2Bi crystal.

Values from the calculation:
Spin magnetization in μB/f.u.: 0.00
Total energy in eV per formula unit: -17.4
Energy of formation from the pure elements in eV/atom: 0.069

```
ScAl2Bi
1.0
8.088 0.000 0.000
0.000 8.088 0.000
4.044 4.044 2.939
Al Sc Bi
4 2 2
Direct
0.632 0.125 0.250
0.875 0.882 0.750
0.118 0.625 0.250
0.375 0.368 0.750
0.250 0.750 0.500
0.500 0.500 0.000
0.000 0.000 0.000
0.750 0.250 0.500
```